1.
HoBeCdCu after structural relaxation, computed with PBE-GGA.

- Electronic total energy: -0.1246 hartree per atom
- DFT formation energy: -0.063 eV per atom
- D(E_F): 2.56 states/eV/cell

a b c (Å): 4.610 4.610 4.610
angles (deg): 60.00 60.00 60.00
Fractional positions:
Be (0.500, 0.500, 0.500)
Ho (0.750, 0.750, 0.750)
Cu (0.000, 0.000, 0.000)
Cd (0.250, 0.250, 0.250)

***

2.
LaBeCdCu2 after structural relaxation, computed with PBE-GGA.

- Electronic total energy: -0.1291 hartree per atom
- DFT formation energy: 0.038 eV per atom
- D(E_F): 4.11 states/eV/cell

a b c (Å): 4.537 4.537 4.589
angles (deg): 90.00 90.00 90.00
Fractional positions:
Be (0.000, 0.000, 0.000)
Cd (0.000, 0.000, 0.500)
Cu (0.000, 0.500, 0.000)
Cu (0.500, 0.000, 0.000)
La (0.500, 0.500, 0.500)

***

3.
PmBeCdCu after structural relaxation, computed with PBE-GGA.

- Electronic total energy: -0.1253 hartree per atom
- DFT formation energy: -0.037 eV per atom
- D(E_F): 2.15 states/eV/cell

a b c (Å): 4.708 4.708 4.708
angles (deg): 60.00 60.00 60.00
Fractional positions:
Be (0.000, 0.000, 0.000)
Cd (0.250, 0.250, 0.250)
Cu (0.500, 0.500, 0.500)
Pm (0.750, 0.750, 0.750)

***

4.
Be2CdCuRh after structural relaxation, computed with PBE-GGA.

- Electronic total energy: -0.0992 hartree per atom
- DFT formation energy: 1.265 eV per atom
- D(E_F): 2.73 states/eV/cell

a b c (Å): 4.283 4.607 4.283
angles (deg): 90.00 90.00 90.00
Fractional positions:
Be (0.000, 0.000, 0.500)
Be (0.500, 0.000, 0.000)
Rh (0.500, 0.500, 0.500)
Cu (0.000, 0.500, 0.000)
Cd (0.000, 0.000, 0.000)